A relaxed structure of OsPt2Br2, computed with PBE.

Properties
DOS at the Fermi energy (states/eV/atom): 0.6900
DFT total energy (eV per cell): -42.06
M_tot (μB/atom): 0.000
Formation energy without anion corrections (eV per atom): 1.13
Polymorph energy (0 for the lowest one) (meV/atom): 0

abc: 6.4981 6.4981 4.7998
angles: 90.00 90.00 90.00
Sites, in units of the cell vectors:
Os1 0.0000 0.0000 0.0000
Os2 0.5000 0.5000 0.0000
Br1 0.3339 0.8339 0.0000
Br2 0.8339 0.6661 0.0000
Br3 0.6661 0.1661 0.0000
Br4 0.1661 0.3339 0.0000
Pt1 0.2633 0.7633 0.5000
Pt2 0.7633 0.7367 0.5000
Pt3 0.7367 0.2367 0.5000
Pt4 0.2367 0.2633 0.5000